A crystal of TcHgBr2 relaxed with PBEsol. Source: the Alexandria database, functional meta-GGA SCAN.

* SG: Fm-3m
* formation energy from raw total energies: 0.505 eV per atom
* E above lowest polymorph: 11.751 kcal/mol of atoms

Geometry as POSCAR:
```
TcHgBr2
1.0
0.000 3.580 3.580
3.580 0.000 3.580
3.580 3.580 0.000
Tc Hg Br
1 1 2
Cartesian
0.000 0.000 0.000
3.580 3.580 3.580
1.790 1.790 1.790
5.369 5.369 5.369
```

***

A crystal of TcHgBr relaxed with PBEsol. Source: the Alexandria database, functional meta-GGA SCAN.

* SG: P-6m2
* formation energy from raw total energies: 0.883 eV per atom
* E above lowest polymorph: 5.214 kcal/mol of atoms

Geometry as POSCAR:
```
TcHgBr
1.0
4.519 0.000 0.000
-2.259 3.913 0.000
0.000 0.000 3.199
Tc Hg Br
1 1 1
Cartesian
0.000 0.000 0.000
2.259 1.304 1.600
0.000 2.609 0.000
```

***

A crystal of HgTeBr4 relaxed with PBEsol. Source: the Alexandria database, functional meta-GGA SCAN.

* SG: F-43m
* formation energy from raw total energies: 0.652 eV per atom

Geometry as POSCAR:
```
HgTeBr4
1.0
0.000 4.303 4.303
4.303 0.000 4.303
4.303 4.303 0.000
Hg Te Br
1 1 4
Cartesian
0.000 0.000 0.000
2.151 2.151 2.151
5.372 3.234 3.234
3.234 5.372 3.234
3.234 3.234 5.372
5.372 5.372 5.372
```

***

A crystal of Hg2TeBr3 relaxed with PBEsol. Source: the Alexandria database, functional meta-GGA SCAN.

* SG: P2_1/c
* formation energy from raw total energies: -0.414 eV per atom

Geometry as POSCAR:
```
Hg2TeBr3
1.0
7.517 0.000 0.000
0.000 10.017 0.000
-6.067 0.000 9.681
Hg Te Br
8 4 12
Cartesian
-2.880 1.902 4.682
-5.913 3.106 9.523
-0.441 5.555 6.370
2.592 9.470 1.529
-1.143 0.547 8.152
1.891 4.462 3.311
7.363 6.911 0.159
4.329 8.115 4.999
-3.126 5.648 6.092
-0.093 9.378 1.251
1.542 0.639 8.430
4.576 4.369 3.589
-2.857 2.430 7.450
0.176 2.578 2.610
1.906 5.110 0.090
-1.127 9.916 4.930
0.267 6.528 3.520
-2.766 8.497 8.361
4.216 1.520 1.320
1.182 3.488 6.161
2.577 0.101 4.751
-0.457 4.907 9.591
1.273 7.439 7.071
4.307 7.586 2.231
```